1.
PBE-GGA NaMn3Co, optimized geometry; ΔE to the lowest computed polymorph = 0.000 eV per atom; raw total energy = -6.407 eV/atom; E_form = 0.78 eV per atom; SG = No. 221
1.0
4.648 0.000 0.000
0.000 4.648 0.000
0.000 0.000 4.648
Na Mn Co
1 3 1
direct
0.500 0.500 0.500
0.000 0.500 0.000
0.000 0.000 0.500
0.500 0.000 0.000
0.000 0.000 0.000

***

2.
PBE-GGA NaMn2Co2, optimized geometry; ΔE to the lowest computed polymorph = 0.008 eV per atom; raw total energy = -6.358 eV/atom; E_form = 0.42 eV per atom; SG = No. 127
1.0
7.195 0.000 0.000
0.000 7.195 0.000
0.000 0.000 2.603
Na Mn Co
2 4 4
direct
0.000 0.000 0.000
0.500 0.500 0.000
0.150 0.650 0.500
0.650 0.850 0.500
0.850 0.350 0.500
0.350 0.150 0.500
0.361 0.861 0.000
0.861 0.639 0.000
0.639 0.139 0.000
0.139 0.361 0.000

***

3.
PBE-GGA Na3MnCo, optimized geometry; ΔE to the lowest computed polymorph = 0.000 eV per atom; raw total energy = -2.864 eV/atom; E_form = 1.18 eV per atom; SG = No. 221
1.0
-5.414 0.042 0.331
-0.334 -0.736 -5.364
0.003 -5.374 0.738
Na Mn Co
3 1 1
direct
0.000 0.500 0.000
0.000 0.000 0.500
0.500 0.000 0.000
0.500 0.500 0.500
0.000 0.000 0.000

***

4.
PBE-GGA NaMnCo2, optimized geometry; ΔE to the lowest computed polymorph = 0.000 eV per atom; raw total energy = -5.426 eV/atom; E_form = 0.75 eV per atom; SG = No. 225
1.0
1.912 2.385 2.947
-2.040 3.313 1.700
-1.310 -0.157 4.036
Na Mn Co
1 1 2
direct
0.000 0.000 0.000
0.500 0.500 0.500
0.250 0.250 0.250
0.750 0.750 0.750

***

5.
PBE-GGA Na3MnCo, optimized geometry; ΔE to the lowest computed polymorph = 0.187 eV per atom; raw total energy = -2.677 eV/atom; E_form = 1.37 eV per atom; SG = No. 221
1.0
5.570 0.000 0.000
0.000 5.570 0.000
0.000 0.000 5.570
Na Mn Co
3 1 1
direct
0.000 0.500 0.000
0.000 0.000 0.500
0.500 0.000 0.000
0.000 0.000 0.000
0.500 0.500 0.500

***

6.
PBE-GGA NaMn2Co2, optimized geometry; ΔE to the lowest computed polymorph = 0.000 eV per atom; raw total energy = -6.366 eV/atom; E_form = 0.41 eV per atom; SG = No. 127
1.0
-3.772 -5.469 -2.708
6.098 -3.263 -1.906
0.075 -1.117 2.152
Na Mn Co
2 4 4
direct
0.000 0.000 0.000
0.500 0.500 0.000
0.384 0.884 0.000
0.884 0.616 0.000
0.616 0.116 0.000
0.116 0.384 0.000
0.167 0.667 0.500
0.667 0.833 0.500
0.833 0.333 0.500
0.333 0.167 0.500

***

Number 1: total moment 13.229 μB per formula unit. Number 2: total moment 6.478 μB per formula unit. Number 3: total moment 3.042 μB per formula unit. Number 4: total moment 5.994 μB per formula unit. Number 5: total moment 6.369 μB per formula unit. Number 6: total moment 0.353 μB per formula unit.